Here is a geometry-optimized Pm2Nd4Mg structure from the Alexandria database. Energies are from PBE.

Cell lengths 6.881, 11.517, 12.180 Å; angles 90.00, 90.00, 90.00 degrees
Space group Imma (No. 74)
One atom of each set of equivalent atoms:
Pm 0.000 0.000 0.000 x4
Pm 0.000 0.250 0.217 x4
Nd 0.000 0.015 0.653 x8
Nd 0.223 0.250 0.492 x8
Mg 0.250 0.250 0.750 x4

energy above the lowest structure with this stoichiometry = 0 meV/atom
total energy = -0.152 Ha/atom
theoretical density = 6.1 g/cm3
ΔE_f = 1.17 eV per formula unit
D(E_F) = 28.471 states/eV/cell

Here is a geometry-optimized Hg5Bi2Pb6 structure from the Alexandria database. Energies are from PBE.

Cell lengths 10.854, 14.264, 5.025 Å; angles 90.00, 90.00, 90.00 degrees
Space group Pbam (No. 55)
One atom of each set of equivalent atoms:
Hg 0.000 0.000 0.000 x2
Hg 0.117 0.410 0.000 x4
Hg 0.219 0.116 0.000 x4
Bi 0.172 0.925 0.500 x4
Pb 0.077 0.776 0.000 x4
Pb 0.105 0.587 0.500 x4
Pb 0.146 0.247 0.500 x4

total energy = -0.087 Ha/atom
theoretical density = 11.4 g/cm3
ΔE_f = 0.60 eV per formula unit
D(E_F) = 11.661 states/eV/cell

Here is a geometry-optimized La2Zn5Ga structure from the Alexandria database. Energies are from PBE.

Cell lengths 4.558, 16.512, 8.965 Å; angles 90.00, 90.00, 90.00 degrees
Space group Cmcm (No. 63)
One atom of each set of equivalent atoms:
La 0.000 0.000 0.000 x4
La 0.000 0.209 0.250 x4
Zn 0.000 0.184 0.606 x8
Zn 0.000 0.350 0.520 x8
Zn 0.000 0.407 0.250 x4
Ga 0.000 0.440 0.750 x4

total energy = -0.104 Ha/atom
theoretical density = 6.6 g/cm3
ΔE_f = -3.29 eV per formula unit
D(E_F) = 22.692 states/eV/cell

Here is a geometry-optimized BeSnTe2 structure from the Alexandria database. Energies are from PBE.

Cell lengths 7.360, 7.360, 7.360 Å; angles 90.00, 90.00, 90.00 degrees
Space group Fm-3m (No. 225)
One atom of each set of equivalent atoms:
Be 0.000 0.000 0.000 x4
Sn 0.000 0.000 0.500 x4
Te 0.250 0.250 0.250 x8

energy above the lowest structure with this stoichiometry = 598 meV/atom
total energy = -0.112 Ha/atom
theoretical density = 6.4 g/cm3
D(E_F) = 6.173 states/eV/cell
formation energy (no corrections) = 10.8 kcal/mol of atoms

Here is a geometry-optimized Na5Zn3F12 structure from the Alexandria database. Energies are from PBE.

Cell lengths 9.5152, 9.5152, 3.2229 Å; angles 90.00, 90.00, 120.00 degrees
Space group P-62m (No. 189)
One atom of each set of equivalent atoms:
Na 0.0000 0.7148 0.0000 x3
Na 0.3333 0.6667 0.0000 x2
Zn 0.0000 0.3342 0.5000 x3
F 0.0000 0.1926 0.0000 x3
F 0.0000 0.4708 0.0000 x3
F 0.2068 0.7622 0.5000 x6

total energy = -0.150 Ha/atom
theoretical density = 3.5 g/cm3
D(E_F) = 12.337 states/eV/cell
formation energy (no corrections) = -56.4 kcal/mol of atoms

Here is a geometry-optimized ZrTi2RuN structure from the Alexandria database. Energies are from PBE.

Cell lengths 4.053, 4.053, 4.547 Å; angles 90.00, 90.00, 90.00 degrees
Space group P4/mmm (No. 123)
One atom of each set of equivalent atoms:
Zr 0.000 0.000 0.000 x1
Ti 0.000 0.500 0.500 x2
Ru 0.500 0.500 0.000 x1
N 0.000 0.000 0.500 x1

total energy = -0.339 Ha/atom
theoretical density = 6.7 g/cm3
D(E_F) = 6.164 states/eV/cell
formation energy (no corrections) = -19.3 kcal/mol of atoms

Here is a geometry-optimized Sm2Zn6Ge3 structure from the Alexandria database. Energies are from PBE.

Cell lengths 7.6311, 7.6311, 4.0750 Å; angles 90.00, 90.00, 120.00 degrees
Space group P-62m (No. 189)
One atom of each set of equivalent atoms:
Sm 0.3333 0.6667 0.0000 x2
Zn 0.0000 0.1903 0.0000 x3
Zn 0.0000 0.7139 0.5000 x3
Ge 0.0000 0.3858 0.5000 x3

total energy = -0.118 Ha/atom
theoretical density = 7.4 g/cm3
ΔE_f = -4.45 eV per formula unit
D(E_F) = 1.703 states/eV/cell

Here is a geometry-optimized NaCrGa2Ge structure from the Alexandria database. Energies are from PBE.

Cell lengths 4.756, 4.756, 4.644 Å; angles 90.00, 90.00, 90.00 degrees
Space group P4/mmm (No. 123)
One atom of each set of equivalent atoms:
Na 0.000 0.000 0.000 x1
Cr 0.500 0.500 0.500 x1
Ga 0.000 0.500 0.500 x2
Ge 0.500 0.500 0.000 x1

total energy = -0.158 Ha/atom
theoretical density = 4.5 g/cm3
ΔE_f = 0.09 eV per formula unit
D(E_F) = 1.308 states/eV/cell